TbNd5Y2 | the Alexandria database | GGA-PBE | optimized geometry; total moment = 0.0 μB/cell; uncorrected energy = -4.967 eV/atom; energy of formation = 1.66 eV/f.u.; SG = C2/c (15); ΔE to the lowest computed polymorph = 0.194 eV per atom
1.0
7.2885 -6.1021 0.0000
7.2885 6.1021 0.0000
-2.6574 0.0000 6.1994
Tb Nd Y
2 10 4
Direct
0.0100 0.9900 0.7500 Tb
0.9900 0.0100 0.2500 Tb
0.1325 0.6150 0.6140 Nd
0.2254 0.2515 0.7029 Nd
0.2515 0.2254 0.2029 Nd
0.2570 0.7430 0.2500 Nd
0.3850 0.8675 0.8860 Nd
0.6150 0.1325 0.1140 Nd
0.7430 0.2570 0.7500 Nd
0.7485 0.7746 0.7971 Nd
0.7746 0.7485 0.2971 Nd
0.8675 0.3850 0.3860 Nd
0.0000 0.5000 0.0000 Y
0.5000 0.0000 0.5000 Y
0.5000 0.5000 0.0000 Y
0.5000 0.5000 0.5000 Y